Na4PtO5: optimized geometry, PBE.

Cell: 7.3994 7.3994 4.6777 Å, 90.00 90.00 90.00°
Space group I4 (No. 79)
Unique sites:
Na1 0.1003 0.7032 0.0000 (multiplicity 8)
Pt1 0.0000 0.0000 0.5211 (multiplicity 2)
O1 0.0000 0.0000 0.9602 (multiplicity 2)
O2 0.0771 0.7467 0.4973 (multiplicity 8)

Output
Energy ... -4.655 eV/atom

CaThP2: optimized geometry, PBE.

Cell: 4.1539 4.1539 20.9989 Å, 90.00 90.00 120.00°
Space group R3m (No. 160, hexagonal axes)
Unique sites:
Ca1 0.0000 0.0000 0.0000 (multiplicity 3)
Th1 0.0000 0.0000 0.8284 (multiplicity 3)
P1 0.0000 0.0000 0.2410 (multiplicity 3)
P2 0.0000 0.0000 0.4175 (multiplicity 3)

Output
Formation energy ... -1.287 eV/atom
Distance to the lowest polymorph of the same formula ... 113.6 meV/atom